(1)
First-principles (GGA-PBE) data for TiHgPd3 after structural relaxation, as listed in Alexandria via LeMat-Bulk.

```
TiHgPd3
1.0
-3.362 2.881 -1.572
-1.841 -3.518 -2.511
-2.717 -1.181 3.646
Pd Hg Ti
3 1 1
Cartesian
-1.681 1.440 -0.786 Pd
-1.358 -0.591 1.823 Pd
-0.920 -1.759 -1.256 Pd
-3.960 -0.909 -0.218 Hg
0.000 0.000 0.000 Ti
```

Computed properties:
space-group type: Pm-3m, No. 221
energy above the most stable polymorph in this dataset: 0.7014 eV per atom
crystal system: cubic

(2)
First-principles (GGA-PBE) data for Ti5Hg2Pd12 after structural relaxation, as listed in Alexandria via LeMat-Bulk.

```
Ti5Hg2Pd12
1.0
-5.355 0.377 -0.897
3.213 -5.369 -4.923
-1.543 -4.096 7.491
Ti Hg Pd
5 2 12
Cartesian
-0.643 -5.779 1.412 Ti
-3.856 -4.804 4.487 Ti
-0.771 -2.048 3.746 Ti
-3.042 -3.309 0.259 Ti
0.170 -4.284 -2.816 Ti
-1.331 0.094 -0.223 Hg
-4.024 0.283 -0.674 Hg
-4.780 -3.811 2.231 Pd
-4.006 -2.243 -1.971 Pd
-1.562 -5.090 -1.005 Pd
1.095 -5.277 -0.560 Pd
-3.323 -6.595 0.558 Pd
0.321 -6.845 3.643 Pd
-2.414 -6.652 3.185 Pd
-0.362 -2.493 1.114 Pd
-0.482 -7.702 -0.355 Pd
-2.123 -3.998 2.676 Pd
-3.203 -1.386 2.027 Pd
-1.271 -2.436 -1.513 Pd
```

Computed properties:
space-group type: C2/m, No. 12
crystal system: monoclinic

(3)
First-principles (GGA-PBE) data for TiHgPd3 after structural relaxation, as listed in Alexandria via LeMat-Bulk.

```
TiHgPd3
1.0
4.961 0.000 0.000
0.000 4.961 0.000
0.000 0.000 4.961
Pd Hg Ti
3 1 1
Cartesian
0.000 2.481 0.000 Pd
0.000 0.000 2.481 Pd
2.481 0.000 0.000 Pd
0.000 0.000 0.000 Hg
2.481 2.481 2.481 Ti
```

Computed properties:
space-group type: Pm-3m, No. 221
energy above the most stable polymorph in this dataset: 1.3469 eV per atom
crystal system: cubic

(4)
First-principles (GGA-PBE) data for Ti2HgPd8 after structural relaxation, as listed in Alexandria via LeMat-Bulk.

```
Ti2HgPd8
1.0
-0.443 -2.578 2.977
-0.756 -4.799 -4.269
7.203 1.687 -0.103
Ti Pd Hg
2 8 1
Cartesian
3.434 -2.669 0.838 Ti
2.569 -3.021 -2.233 Ti
4.047 -4.772 -0.892 Pd
4.385 -0.157 0.517 Pd
0.847 -3.446 -0.220 Pd
1.956 -0.918 -0.503 Pd
0.090 -3.425 -2.952 Pd
5.914 -2.265 1.557 Pd
5.156 -2.244 -1.175 Pd
1.618 -5.532 -1.912 Pd
-0.222 -1.289 1.488 Hg
```

Computed properties:
space-group type: C2/m, No. 12
crystal system: monoclinic

(5)
First-principles (GGA-PBE) data for TiHgPd2 after structural relaxation, as listed in Alexandria via LeMat-Bulk.

```
TiHgPd2
1.0
3.945 0.000 0.000
0.000 4.144 0.000
0.000 0.000 4.144
Hg Pd Ti
1 2 1
Cartesian
1.972 2.072 2.072 Hg
0.000 2.072 0.000 Pd
0.000 0.000 2.072 Pd
1.972 0.000 0.000 Ti
```

Computed properties:
space-group type: P4/mmm, No. 123
crystal system: tetragonal

(6)
First-principles (GGA-PBE) data for TiHgPd2 after structural relaxation, as listed in Alexandria via LeMat-Bulk.

```
TiHgPd2
1.0
-1.035 -2.968 0.233
2.004 -0.512 2.379
-4.832 2.039 4.509
Pd Ti Hg
2 1 1
Cartesian
-1.041 0.439 0.971 Pd
-3.791 1.600 3.537 Pd
0.484 -1.740 1.306 Ti
-1.932 -0.721 3.560 Hg
```

Computed properties:
space-group type: P4/mmm, No. 123
crystal system: tetragonal

(7)
First-principles (GGA-PBE) data for Ti3HgPd after structural relaxation, as listed in Alexandria via LeMat-Bulk.

```
Ti3HgPd
1.0
-4.206 1.392 -2.232
-2.316 -3.956 1.896
-1.248 2.650 4.004
Pd Ti Hg
1 3 1
Cartesian
-3.885 0.043 1.834 Pd
-0.624 1.325 2.002 Ti
-2.103 0.696 -1.116 Ti
-1.158 -1.978 0.948 Ti
0.000 0.000 0.000 Hg
```

Computed properties:
space-group type: Pm-3m, No. 221
energy above the most stable polymorph in this dataset: 0.7053 eV per atom
crystal system: cubic

(8)
First-principles (GGA-PBE) data for TiHg2Pd after structural relaxation, as listed in Alexandria via LeMat-Bulk.

```
TiHg2Pd
1.0
-2.301 -2.144 1.167
0.174 -1.744 -2.861
4.762 -3.719 2.556
Hg Ti Pd
2 1 1
Cartesian
1.218 -0.951 0.654 Hg
3.544 -2.768 1.902 Hg
-1.064 -1.944 -0.847 Ti
1.318 -3.804 0.431 Pd
```

Computed properties:
space-group type: P4/mmm, No. 123
energy above the most stable polymorph in this dataset: 0.0304 eV per atom
crystal system: tetragonal

(9)
First-principles (GGA-PBE) data for TiHg2Pd after structural relaxation, as listed in Alexandria via LeMat-Bulk.

```
TiHg2Pd
1.0
0.000 3.313 3.313
3.313 0.000 3.313
3.313 3.313 0.000
Hg Ti Pd
2 1 1
Cartesian
1.657 1.657 1.657 Hg
4.970 4.970 4.970 Hg
0.000 0.000 0.000 Ti
3.313 3.313 3.313 Pd
```

Computed properties:
space-group type: Fm-3m, No. 225
energy above the most stable polymorph in this dataset: 0.0000 eV per atom
crystal system: cubic

(10)
First-principles (GGA-PBE) data for Ti7HgPd3 after structural relaxation, as listed in Alexandria via LeMat-Bulk.

```
Ti7HgPd3
1.0
-0.510 4.256 -2.469
-2.273 0.370 6.447
5.988 -0.475 3.285
Ti Pd Hg
7 3 1
Cartesian
-0.174 3.106 5.937 Ti
3.379 1.045 1.326 Ti
4.604 2.617 4.108 Ti
-1.399 1.534 3.155 Ti
0.611 0.862 1.366 Ti
2.594 3.289 5.898 Ti
1.857 -0.052 4.866 Ti
-0.255 2.128 -1.234 Pd
4.206 -0.292 3.967 Pd
-0.492 0.188 5.765 Pd
1.602 2.076 3.632 Hg
```

Computed properties:
space-group type: C2/m, No. 12
crystal system: monoclinic

(11)
First-principles (GGA-PBE) data for TiHgPd2 after structural relaxation, as listed in Alexandria via LeMat-Bulk.

```
TiHgPd2
1.0
-1.337 1.181 2.518
-2.594 -1.261 1.096
3.332 -5.295 6.149
Pd Ti Hg
2 1 1
Cartesian
2.301 -4.128 5.056 Pd
-0.279 -1.194 2.298 Pd
0.710 -5.347 8.557 Ti
-0.298 -2.690 4.884 Hg
```

Computed properties:
space-group type: Cm, No. 8
crystal system: monoclinic

(12)
First-principles (GGA-PBE) data for Ti3HgPd after structural relaxation, as listed in Alexandria via LeMat-Bulk.

```
Ti3HgPd
1.0
-4.361 1.227 -1.492
1.382 -0.594 -4.527
-1.350 -4.571 0.188
Ti Pd Hg
3 1 1
Cartesian
-2.181 0.613 -0.746 Ti
0.691 -0.297 -2.263 Ti
-0.675 -2.286 0.094 Ti
0.000 0.000 0.000 Pd
-2.165 -1.969 -2.916 Hg
```

Computed properties:
space-group type: Pm-3m, No. 221
energy above the most stable polymorph in this dataset: 0.0000 eV per atom
crystal system: cubic

Number 1: ΔE_f 0.4294 eV per atom. Number 2: ΔE_f -0.2950 eV per atom. Number 3: ΔE_f 1.0749 eV per atom. Number 4: ΔE_f -0.4461 eV per atom. Number 5: ΔE_f -0.2335 eV per atom. Number 6: ΔE_f -0.4073 eV per atom. Number 7: ΔE_f 1.1965 eV per atom. Number 8: ΔE_f -0.0789 eV per atom. Number 9: ΔE_f -0.1093 eV per atom. Number 10: ΔE_f 0.0352 eV per atom. Number 11: ΔE_f -0.2893 eV per atom. Number 12: ΔE_f 0.4912 eV per atom.